#i
DFT (PBE) results for ZrNbSb2 after structural relaxation.

Output
total magnetic moment	1.7	μB per formula unit
density of states at the Fermi level	16.93	states/eV/cell

Cell: 6.3367 6.3367 13.3326 Å, 90.00 90.00 90.00°
Space group I-42d (No. 122)
Asymmetric unit:
Zr 0.0000 0.0000 0.0000 x4
Nb 0.0000 0.0000 0.5000 x4
Sb 0.2358 0.2500 0.6250 x8

***

#ii
DFT (PBE) results for ZrNbSb2 after structural relaxation.

Output
total magnetic moment	0.0	μB per formula unit
density of states at the Fermi level	9.04	states/eV/cell

Cell: 4.0848 4.0848 19.7787 Å, 90.00 90.00 120.00°
Space group R-3m (No. 166, hexagonal axes)
Asymmetric unit:
Zr 0.0000 0.0000 0.0000 x3
Nb 0.0000 0.0000 0.5000 x3
Sb 0.0000 0.0000 0.2467 x6

***

Which structure is most stable? #ii, by 615 meV/atom over the runner-up.